VASP calculation (PBE) on a relaxed Rb2SnCBr6 crystal.

Structure (POSCAR):
```
Rb2SnCBr6
1.0
7.6331 0.0000 0.0000
0.0000 7.6331 0.0000
3.8166 3.8166 5.3889
Br C Rb Sn
6 1 2 1
Cartesian
5.5997 2.0334 0.0000
7.6331 7.6331 2.8686
5.5997 5.5997 0.0000
2.0334 5.5997 0.0000
2.0334 2.0334 0.0000
3.8166 3.8166 2.5203
3.8166 3.8166 0.0000
3.8166 7.6331 2.6945
7.6331 3.8166 2.6945
0.0000 0.0000 0.0000
```

Calculated values
- space-group type = No. 139
- calculated volume (A^3/atom) = 31.40
- total energy (eV/atom) = -3.010